{
  "formula": "KRbTl4Pd2",
  "functional": "PBE-GGA",
  "state": "relaxed",
  "lattice_angstrom": [[8.382, 0.000, 0.000], [0.000, 2.273, 6.262], [0.000, -2.273, 6.262]],
  "species": ["K", "Rb", "Tl", "Tl", "Tl", "Tl", "Pd", "Pd"],
  "frac_coords": [[0.000, 0.000, 0.000], [0.500, 0.899, 0.899], [0.195, 0.289, 0.289], [0.301, 0.609, 0.609], [0.699, 0.609, 0.609], [0.805, 0.289, 0.289], [0.000, 0.727, 0.727], [0.500, 0.172, 0.172]],
  "total_energy_ev_per_atom": -2.90,
  "sg": "Amm2 (38)",
  "volume_a3_per_cell": 238.6
}